No. 1
## TaBiPt3 (PBE)

Data for a relaxed TaBiPt3 crystal.

E_form in eV per atom: 0.58

a = 4.9224 Å, b = 4.9224 Å, c = 4.9224 Å
α = 90.00°, β = 90.00°, γ = 90.00°
Last column: nearest neighbours and their distance in Å.
Positions (direct):
Ta (0.0000, 0.0000, 0.0000)  6 Pt 2.46
Bi (0.5000, 0.5000, 0.5000)  12 Pt 3.48
Pt (0.0000, 0.0000, 0.5000)  2 Ta 2.46
Pt (0.0000, 0.5000, 0.0000)  2 Ta 2.46
Pt (0.5000, 0.0000, 0.0000)  2 Ta 2.46

No. 2
## YBi3O (PBE)

Data for a relaxed YBi3O crystal.

E_form (uncorrected) in eV/atom: -0.550

a = 4.9924 Å, b = 4.9924 Å, c = 4.9924 Å
α = 90.00°, β = 90.00°, γ = 90.00°
Last column: nearest neighbours and their distance in Å.
Positions (direct):
Y (0.0000, 0.0000, 0.0000)  12 Bi 3.53
Bi (0.0000, 0.5000, 0.5000)  2 O 2.50
Bi (0.5000, 0.0000, 0.5000)  2 O 2.50
Bi (0.5000, 0.5000, 0.0000)  2 O 2.50
O (0.5000, 0.5000, 0.5000)  6 Bi 2.50

No. 3
## TlRhCl2 (PBE)

Data for a relaxed TlRhCl2 crystal.

E_form (uncorrected) in eV/atom: -0.180

a = 8.1081 Å, b = 8.1081 Å, c = 8.1081 Å
α = 137.91°, β = 137.91°, γ = 61.04°
Last column: nearest neighbours and their distance in Å.
Positions (direct):
Tl (0.0000, 0.0000, 0.0000)  4 Cl 3.14
Tl (0.7500, 0.2500, 0.5000)  4 Cl 3.14
Rh (0.2500, 0.7500, 0.5000)  4 Cl 2.39
Rh (0.5000, 0.5000, 0.0000)  4 Cl 2.39
Cl (0.2464, 0.6250, 0.1214)  2 Rh 2.39
Cl (0.3750, 0.4964, 0.6214)  2 Rh 2.39
Cl (0.5036, 0.1250, 0.8786)  2 Rh 2.39
Cl (0.8750, 0.7536, 0.3786)  2 Rh 2.39

| no. | offset from the most stable computed form (meV per atom) | total moment (μB/cell) | total DFT energy (no corrections) (eV per atom) |
| --- | --- | --- | --- |
| 1 | 0 | 0.0 | -6.189 |
| 2 | 0 | 0.0 | -5.163 |
| 3 | 261 | 0.0 | -3.533 |